Entry 1:
Material: TeBr
Method: DFT, PBE-GGA
State: optimized geometry

As for the formation energy without anion corrections: 485 meV per atom.

Unit cell a=3.8006 b=3.8006 c=3.8006 alpha=90.00 beta=90.00 gamma=90.00
With the nearest neighbours (Å) after each atom.
Space group Pm-3m (No. 221)
One atom of each set of equivalent atoms:
Te 0.0000 0.0000 0.0000 x1  8 Br 3.29
Br 0.5000 0.5000 0.5000 x1  8 Te 3.29

=====

Entry 2:
Material: Pm2Ho6Er3
Method: DFT, PBE-GGA
State: optimized geometry

The formation energy is 0.186 eV/atom. For the polymorph energy (0 for the lowest one), the calculation gives 0.000 eV per atom.

Unit cell a=6.0737 b=10.5381 c=11.6342 alpha=90.00 beta=100.14 gamma=90.00
With the nearest neighbours (Å) after each atom.
Space group C2/m (No. 12)
One atom of each set of equivalent atoms:
Pm 0.0000 0.1665 0.0000 x4  3 Pm 3.51, 6 Ho 3.53-3.54
Ho 0.2491 0.1668 0.7468 x8  3 Er 3.48, 6 Ho 3.51-3.52, 2 Pm 3.54
Ho 0.2505 0.0000 0.2531 x4  3 Er 3.47-3.48, 6 Ho 3.51, 2 Pm 3.53
Er 0.0000 0.0000 0.5000 x2  6 Ho 3.48, 6 Er 3.50-3.53
Er 0.0000 0.3347 0.5000 x4  6 Ho 3.47-3.48, 6 Er 3.48-3.53

=====

Entry 3:
Material: LaTiOs2
Method: DFT, PBE-GGA
State: optimized geometry

The formation energy is 0.121 eV/atom. For the polymorph energy (0 for the lowest one), the calculation gives 0.000 eV per atom.

Unit cell a=6.6584 b=6.6584 c=6.6584 alpha=90.00 beta=90.00 gamma=90.00
With the nearest neighbours (Å) after each atom.
Space group Fm-3m (No. 225)
One atom of each set of equivalent atoms:
La 0.0000 0.0000 0.0000 x4  8 Os 2.88
Ti 0.0000 0.0000 0.5000 x4  8 Os 2.88
Os 0.2500 0.2500 0.2500 x8  4 La 2.88, 4 Ti 2.88

=====

Entry 4:
Material: Th2UAs3Rh4
Method: DFT, PBE-GGA
State: optimized geometry

The formation energy is -0.846 eV/atom.

Unit cell a=4.2023 b=4.2023 c=11.1485 alpha=90.00 beta=90.00 gamma=90.00
With the nearest neighbours (Å) after each atom.
Space group P-4m2 (No. 115)
One atom of each set of equivalent atoms:
Th 0.0000 0.5000 0.2246 x2  4 As 3.16, 8 Rh 3.27
U 0.0000 0.0000 0.5000 x1  4 Rh 2.71, 4 As 2.97
As 0.0000 0.5000 0.8716 x2  5 Rh 2.43-2.54
As 0.5000 0.5000 0.5000 x1  4 Rh 2.71, 4 U 2.97
Rh 0.0000 0.0000 0.0000 x1  4 As 2.54
Rh 0.0000 0.5000 0.6534 x2  3 As 2.43-2.71, 2 U 2.71
Rh 0.5000 0.5000 0.0000 x1  4 As 2.54

=====

Entry 5:
Material: SrAg3I
Method: DFT, PBE-GGA
State: optimized geometry

As for the formation energy without anion corrections: 448 meV per atom. For the polymorph energy (0 for the lowest one), the calculation gives 0.000 eV per atom.

Unit cell a=5.5653 b=5.5653 c=5.5653 alpha=90.00 beta=90.00 gamma=90.00
With the nearest neighbours (Å) after each atom.
Space group Pm-3m (No. 221)
One atom of each set of equivalent atoms:
Sr 0.0000 0.0000 0.0000 x1  12 Ag 3.94
Ag 0.0000 0.5000 0.5000 x3  2 I 2.78
I 0.5000 0.5000 0.5000 x1  6 Ag 2.78

=====

Entry 6:
Material: BeBiH
Method: DFT, PBE-GGA
State: optimized geometry

For the polymorph energy (0 for the lowest one), the calculation gives 0.250 eV per atom.

Unit cell a=7.1328 b=4.2218 c=6.8656 alpha=90.00 beta=90.00 gamma=90.00
With the nearest neighbours (Å) after each atom.
Space group Pnma (No. 62)
One atom of each set of equivalent atoms:
Be 0.0865 0.2500 0.0102 x4  2 Be 2.45, 4 Bi 2.60-2.69
Bi 0.2415 0.2500 0.3668 x4  1 H 1.84
H 0.0885 0.2500 0.5825 x4  1 Bi 1.84

=====

Entry 7:
Material: BaNp2USe8
Method: DFT, PBE-GGA
State: optimized geometry

As for the formation energy without anion corrections: -1052 meV per atom.

Unit cell a=6.5224 b=8.7613 c=6.7444 alpha=90.00 beta=90.22 gamma=90.00
With the nearest neighbours (Å) after each atom.
Space group P2/m (No. 10)
One atom of each set of equivalent atoms:
Ba 0.0000 0.0000 0.0000 x1  6 Se 3.22
Np 0.5000 0.2526 0.5000 x2  6 Se 2.78-2.88
U 0.0000 0.5000 0.0000 x1  6 Se 2.68-2.85
Se 0.2520 0.2915 0.1582 x4  1 U 2.68, 1 Np 2.83
Se 0.2623 0.0000 0.5961 x2  2 Np 2.78
Se 0.2682 0.5000 0.6678 x2  1 U 2.85, 2 Np 2.88

=====

Entry 8:
Material: ThPaCuNi
Method: DFT, PBE-GGA
State: optimized geometry

The formation energy is -0.026 eV/atom.

Unit cell a=6.9065 b=6.9065 c=6.9065 alpha=90.00 beta=90.00 gamma=90.00
With the nearest neighbours (Å) after each atom.
Space group F-43m (No. 216)
One atom of each set of equivalent atoms:
Th 0.0000 0.0000 0.0000 x4  4 Ni 2.99, 4 Cu 2.99
Pa 0.0000 0.0000 0.5000 x4  4 Ni 2.99, 4 Cu 2.99
Cu 0.2500 0.2500 0.2500 x4  4 Th 2.99, 4 Pa 2.99
Ni 0.2500 0.2500 0.7500 x4  4 Th 2.99, 4 Pa 2.99

=====

In the order shown, the computed calculated volume values come out to 54.9 733.0 295.2 196.9 172.4 206.7 385.4 329.4 Å³ per cell.
In the order shown, the computed M_tot values come out to 0.00 0.01 0.00 2.55 0.00 0.00 6.00 0.00 μB per formula unit.